Run w
An optimized crystal structure of SiNi3W2, computed with PBEsol.

Output
magnetization: 0.00 μB/f.u.

Cell lengths 7.5334, 4.7220, 8.0567 Å; angles 90.00, 90.00, 90.00 degrees
Space group Amm2 (No. 38)
One atom of each set of equivalent atoms:
Si (0.0000, 0.2467, 0.0000) [4 per cell]
Ni (0.0000, 0.0000, 0.2366) [2 per cell]
Ni (0.2412, 0.0000, 0.4256) [4 per cell]
Ni (0.5000, 0.0000, 0.5903) [2 per cell]
Ni (0.5000, 0.2463, 0.8361) [4 per cell]
W (0.1916, 0.0000, 0.7556) [4 per cell]
W (0.3177, 0.0000, 0.0863) [4 per cell]

***

Run x
An optimized crystal structure of SiNi3W2, computed with PBEsol.

Output
magnetization: 0.00 μB/f.u.

Cell lengths 4.7000, 4.7000, 7.4655 Å; angles 90.00, 90.00, 120.00 degrees
Space group P6_3/mmc (No. 194)
One atom of each set of equivalent atoms:
Si (0.0000, 0.0000, 0.0000) [2 per cell]
Ni (0.1694, 0.3387, 0.2500) [6 per cell]
W (0.3333, 0.6667, 0.5641) [4 per cell]

***

The data favor run x; the next most stable structure lies 0.073 eV/atom above it.

***

Run w
An optimized crystal structure of SrTa2Ni, computed with PBEsol.

Output
magnetization: 0.00 μB/f.u.

Cell lengths 4.8582, 4.8582, 3.0032 Å; angles 90.00, 90.00, 90.00 degrees
Space group P4/mmm (No. 123)
One atom of each set of equivalent atoms:
Sr (0.0000, 0.0000, 0.0000) [1 per cell]
Ta (0.0000, 0.5000, 0.5000) [2 per cell]
Ni (0.5000, 0.5000, 0.0000) [1 per cell]

***

Run x
An optimized crystal structure of SrTa2Ni, computed with PBEsol.

Output
magnetization: 0.00 μB/f.u.

Cell lengths 2.9772, 5.0419, 5.1620 Å; angles 90.00, 99.63, 90.00 degrees
Space group P2/m (No. 10)
One atom of each set of equivalent atoms:
Sr (0.0000, 0.0000, 0.0000) [1 per cell]
Ta (0.2955, 0.5000, 0.7201) [2 per cell]
Ni (0.5000, 0.0000, 0.5000) [1 per cell]

***

Run y
An optimized crystal structure of SrTa2Ni, computed with PBEsol.

Output
magnetization: 0.00 μB/f.u.

Cell lengths 2.8592, 4.9131, 10.9196 Å; angles 90.00, 90.00, 90.00 degrees
Space group Immm (No. 71)
One atom of each set of equivalent atoms:
Sr (0.0000, 0.0000, 0.0000) [2 per cell]
Ta (0.0000, 0.5000, 0.2076) [4 per cell]
Ni (0.0000, 0.0000, 0.5000) [2 per cell]

***

Run z
An optimized crystal structure of SrTa2Ni, computed with PBEsol.

Output
magnetization: 0.00 μB/f.u.

Cell lengths 2.9818, 2.9818, 29.5919 Å; angles 90.00, 90.00, 120.00 degrees
Space group R-3m (No. 166, hexagonal axes)
One atom of each set of equivalent atoms:
Sr (0.0000, 0.0000, 0.0000) [3 per cell]
Ta (0.0000, 0.0000, 0.2334) [6 per cell]
Ni (0.0000, 0.0000, 0.5000) [3 per cell]

***

The data favor run y; the next most stable structure lies 0.257 eV/atom above it.

***

Run w
An optimized crystal structure of Sr2TaNi, computed with PBEsol.

Output
magnetization: 0.02 μB/f.u.

Cell lengths 4.2523, 4.2523, 10.0472 Å; angles 90.00, 90.00, 90.00 degrees
Space group I4/mmm (No. 139)
One atom of each set of equivalent atoms:
Sr (0.0000, 0.5000, 0.2500) [4 per cell]
Ta (0.0000, 0.0000, 0.0000) [2 per cell]
Ni (0.0000, 0.0000, 0.5000) [2 per cell]

***

Run x
An optimized crystal structure of Sr2TaNi, computed with PBEsol.

Output
magnetization: 0.42 μB/f.u.

Cell lengths 5.5317, 5.5317, 3.1952 Å; angles 90.00, 90.00, 90.00 degrees
Space group P4/mmm (No. 123)
One atom of each set of equivalent atoms:
Sr (0.0000, 0.5000, 0.0000) [2 per cell]
Ta (0.0000, 0.0000, 0.5000) [1 per cell]
Ni (0.5000, 0.5000, 0.5000) [1 per cell]

***

The data favor run x; the next most stable structure lies 0.033 eV/atom above it.

***

Run w
An optimized crystal structure of SrTc2Ni, computed with PBEsol.

Output
magnetization: 0.75 μB/f.u.

Cell lengths 3.0835, 3.0835, 7.3567 Å; angles 90.00, 90.00, 90.00 degrees
Space group P4mm (No. 99)
One atom of each set of equivalent atoms:
Sr (0.0000, 0.0000, 0.0000) [1 per cell]
Tc (0.0000, 0.0000, 0.5093) [1 per cell]
Tc (0.5000, 0.5000, 0.3370) [1 per cell]
Ni (0.5000, 0.5000, 0.6971) [1 per cell]

***

Run x
An optimized crystal structure of SrTc2Ni, computed with PBEsol.

Output
magnetization: 0.00 μB/f.u.

Cell lengths 3.1933, 5.1511, 8.7346 Å; angles 90.00, 90.00, 90.00 degrees
Space group Imm2 (No. 44)
One atom of each set of equivalent atoms:
Sr (0.0000, 0.0000, 0.0000) [2 per cell]
Tc (0.0000, 0.0000, 0.5021) [2 per cell]
Tc (0.0000, 0.5000, 0.8037) [2 per cell]
Ni (0.0000, 0.5000, 0.2127) [2 per cell]

***

The data favor run w; the next most stable structure lies 0.396 eV/atom above it.

***

Run w
An optimized crystal structure of SrTlNi2, computed with PBEsol.

Output
magnetization: 0.00 μB/f.u.

Cell lengths 4.3993, 4.3993, 15.3524 Å; angles 90.00, 90.00, 120.00 degrees
Space group R-3m (No. 166, hexagonal axes)
One atom of each set of equivalent atoms:
Sr (0.0000, 0.0000, 0.0000) [3 per cell]
Tl (0.0000, 0.0000, 0.5000) [3 per cell]
Ni (0.0000, 0.0000, 0.1861) [6 per cell]

***

Run x
An optimized crystal structure of SrTlNi2, computed with PBEsol.

Output
magnetization: 0.00 μB/f.u.

Cell lengths 6.6459, 6.6459, 6.6459 Å; angles 90.00, 90.00, 90.00 degrees
Space group Fm-3m (No. 225)
One atom of each set of equivalent atoms:
Sr (0.0000, 0.0000, 0.0000) [4 per cell]
Tl (0.0000, 0.0000, 0.5000) [4 per cell]
Ni (0.2500, 0.2500, 0.2500) [8 per cell]

***

Run y
An optimized crystal structure of SrTlNi2, computed with PBEsol.

Output
magnetization: 0.02 μB/f.u.

Cell lengths 3.2612, 3.2612, 7.1985 Å; angles 90.00, 90.00, 90.00 degrees
Space group P4mm (No. 99)
One atom of each set of equivalent atoms:
Sr (0.0000, 0.0000, 0.0000) [1 per cell]
Tl (0.5000, 0.5000, 0.3592) [1 per cell]
Ni (0.0000, 0.0000, 0.6037) [1 per cell]
Ni (0.5000, 0.5000, 0.7163) [1 per cell]

***

Run z
An optimized crystal structure of SrTlNi2, computed with PBEsol.

Output
magnetization: 0.00 μB/f.u.

Cell lengths 4.0047, 4.0047, 9.3150 Å; angles 90.00, 90.00, 90.00 degrees
Space group I-4m2 (No. 119)
One atom of each set of equivalent atoms:
Sr (0.0000, 0.0000, 0.0000) [2 per cell]
Tl (0.0000, 0.5000, 0.2500) [2 per cell]
Ni (0.0000, 0.0000, 0.5000) [2 per cell]
Ni (0.0000, 0.5000, 0.7500) [2 per cell]

***

The data favor run w; the next most stable structure lies 0.212 eV/atom above it.

***

Run w
An optimized crystal structure of TaNiTe2, computed with PBEsol.

Output
magnetization: 0.00 μB/f.u.

Cell lengths 3.4857, 3.4857, 7.0160 Å; angles 90.00, 90.00, 90.00 degrees
Space group P4mm (No. 99)
One atom of each set of equivalent atoms:
Ta (0.0000, 0.0000, 0.0000) [1 per cell]
Ni (0.5000, 0.5000, 0.8040) [1 per cell]
Te (0.0000, 0.0000, 0.6275) [1 per cell]
Te (0.5000, 0.5000, 0.1900) [1 per cell]

***

Run x
An optimized crystal structure of TaNiTe2, computed with PBEsol.

Output
magnetization: 0.00 μB/f.u.

Cell lengths 3.3378, 3.3378, 26.0461 Å; angles 90.00, 90.00, 120.00 degrees
Space group R-3m (No. 166, hexagonal axes)
One atom of each set of equivalent atoms:
Ta (0.0000, 0.0000, 0.0000) [3 per cell]
Ni (0.0000, 0.0000, 0.5000) [3 per cell]
Te (0.0000, 0.0000, 0.1043) [6 per cell]

***

The data favor run w; the next most stable structure lies 0.515 eV/atom above it.

***

Run w
An optimized crystal structure of TaNiTe2, computed with PBEsol.

Output
magnetization: 0.00 μB/f.u.

Cell lengths 6.7013, 6.7013, 6.7013 Å; angles 90.00, 90.00, 90.00 degrees
Space group Fm-3m (No. 225)
One atom of each set of equivalent atoms:
Ta (0.0000, 0.0000, 0.0000) [4 per cell]
Ni (0.0000, 0.0000, 0.5000) [4 per cell]
Te (0.2500, 0.2500, 0.2500) [8 per cell]

***

Run x
An optimized crystal structure of TaNiTe2, computed with PBEsol.

Output
magnetization: 0.00 μB/f.u.

Cell lengths 3.9530, 3.9530, 6.8509 Å; angles 90.00, 90.00, 120.00 degrees
Space group P3m1 (No. 156)
One atom of each set of equivalent atoms:
Ta (0.0000, 0.0000, 0.0000) [1 per cell]
Ni (0.6667, 0.3333, 0.1396) [1 per cell]
Te (0.3333, 0.6667, 0.2976) [1 per cell]
Te (0.6667, 0.3333, 0.7522) [1 per cell]

***

Run y
An optimized crystal structure of TaNiTe2, computed with PBEsol.

Output
magnetization: 0.00 μB/f.u.

Cell lengths 7.8683, 7.2705, 6.1622 Å; angles 90.00, 90.00, 90.00 degrees
Space group Pmna (No. 53)
One atom of each set of equivalent atoms:
Ta (0.2068, 0.0000, 0.0000) [4 per cell]
Ni (0.0000, 0.1180, 0.3544) [4 per cell]
Te (0.0000, 0.2262, 0.7511) [4 per cell]
Te (0.2500, 0.3213, 0.2500) [4 per cell]

***

The data favor run y; the next most stable structure lies 0.083 eV/atom above it.

***

Run w
An optimized crystal structure of Ta2TlNi, computed with PBEsol.

Output
magnetization: 0.00 μB/f.u.

Cell lengths 3.3394, 3.3394, 6.1103 Å; angles 90.00, 90.00, 90.00 degrees
Space group P4mm (No. 99)
One atom of each set of equivalent atoms:
Ta (0.0000, 0.0000, 0.0000) [1 per cell]
Ta (0.5000, 0.5000, 0.2358) [1 per cell]
Tl (0.0000, 0.0000, 0.5295) [1 per cell]
Ni (0.5000, 0.5000, 0.7750) [1 per cell]

***

Run x
An optimized crystal structure of Ta2TlNi, computed with PBEsol.

Output
magnetization: 0.00 μB/f.u.

Cell lengths 3.0964, 3.0964, 25.6087 Å; angles 90.00, 90.00, 120.00 degrees
Space group R3m (No. 160, hexagonal axes)
One atom of each set of equivalent atoms:
Ta (0.0000, 0.0000, 0.0000) [3 per cell]
Ta (0.0000, 0.0000, 0.2472) [3 per cell]
Tl (0.0000, 0.0000, 0.4835) [3 per cell]
Ni (0.0000, 0.0000, 0.7352) [3 per cell]

***

Run y
An optimized crystal structure of Ta2TlNi, computed with PBEsol.

Output
magnetization: 0.00 μB/f.u.

Cell lengths 3.5378, 4.2477, 8.8305 Å; angles 90.00, 90.00, 90.00 degrees
Space group Immm (No. 71)
One atom of each set of equivalent atoms:
Ta (0.0000, 0.0000, 0.2366) [4 per cell]
Tl (0.0000, 0.5000, 0.0000) [2 per cell]
Ni (0.0000, 0.5000, 0.5000) [2 per cell]

***

The data favor run y; the next most stable structure lies 0.024 eV/atom above it.

***

Run w
An optimized crystal structure of TaZn2Ni, computed with PBEsol.

Output
magnetization: 0.00 μB/f.u.

Cell lengths 6.0047, 6.0047, 6.0047 Å; angles 90.00, 90.00, 90.00 degrees
Space group Fm-3m (No. 225)
One atom of each set of equivalent atoms:
Ta (0.0000, 0.0000, 0.0000) [4 per cell]
Zn (0.2500, 0.2500, 0.2500) [8 per cell]
Ni (0.0000, 0.0000, 0.5000) [4 per cell]

***

Run x
An optimized crystal structure of TaZn2Ni, computed with PBEsol.

Output
magnetization: 0.00 μB/f.u.

Cell lengths 2.8553, 2.8553, 6.7026 Å; angles 90.00, 90.00, 90.00 degrees
Space group P4mm (No. 99)
One atom of each set of equivalent atoms:
Ta (0.0000, 0.0000, 0.0000) [1 per cell]
Zn (0.0000, 0.0000, 0.5366) [1 per cell]
Zn (0.5000, 0.5000, 0.2884) [1 per cell]
Ni (0.5000, 0.5000, 0.7497) [1 per cell]

***

Run y
An optimized crystal structure of TaZn2Ni, computed with PBEsol.

Output
magnetization: 0.00 μB/f.u.

Cell lengths 8.6198, 2.6677, 4.8954 Å; angles 90.00, 99.62, 90.00 degrees
Space group Cm (No. 8)
One atom of each set of equivalent atoms:
Ta (0.0000, 0.0000, 0.0000) [2 per cell]
Zn (0.2387, 0.0000, 0.6885) [2 per cell]
Zn (0.4874, 0.0000, 0.4865) [2 per cell]
Ni (0.2529, 0.5000, 0.2029) [2 per cell]

***

The data favor run x; the next most stable structure lies 0.127 eV/atom above it.

***

Run w
An optimized crystal structure of Zr2TaNi, computed with PBEsol.

Output
magnetization: 0.00 μB/f.u.

Cell lengths 3.0646, 3.0646, 7.6857 Å; angles 90.00, 90.00, 90.00 degrees
Space group P4mm (No. 99)
One atom of each set of equivalent atoms:
Zr (0.0000, 0.0000, 0.0000) [1 per cell]
Zr (0.5000, 0.5000, 0.3083) [1 per cell]
Ta (0.5000, 0.5000, 0.7289) [1 per cell]
Ni (0.0000, 0.0000, 0.5502) [1 per cell]

***

Run x
An optimized crystal structure of Zr2TaNi, computed with PBEsol.

Output
magnetization: 0.00 μB/f.u.

Cell lengths 3.0968, 3.0968, 26.3676 Å; angles 90.00, 90.00, 120.00 degrees
Space group R-3m (No. 166, hexagonal axes)
One atom of each set of equivalent atoms:
Zr (0.0000, 0.0000, 0.2419) [6 per cell]
Ta (0.0000, 0.0000, 0.0000) [3 per cell]
Ni (0.0000, 0.0000, 0.5000) [3 per cell]

***

Run y
An optimized crystal structure of Zr2TaNi, computed with PBEsol.

Output
magnetization: 0.00 μB/f.u.

Cell lengths 3.3333, 4.5737, 9.3427 Å; angles 90.00, 90.00, 90.00 degrees
Space group Imm2 (No. 44)
One atom of each set of equivalent atoms:
Zr (0.0000, 0.0000, 0.0000) [2 per cell]
Zr (0.0000, 0.5000, 0.2303) [2 per cell]
Ta (0.0000, 0.0000, 0.4637) [2 per cell]
Ni (0.0000, 0.5000, 0.7449) [2 per cell]

***

The data favor run w; the next most stable structure lies 0.074 eV/atom above it.